# Ca2ZrAl, relaxed, DFT PBE-GGA
data_Ca2ZrAl
_chemical_formula_sum 'Ca2 Zr1 Al1'
_cell_length_a 3.347
_cell_length_b 3.347
_cell_length_c 9.633
_cell_angle_alpha 90.00
_cell_angle_beta 90.00
_cell_angle_gamma 90.00
_symmetry_space_group_name_H-M 'P 4/m m m'
_symmetry_Int_Tables_number 123
_symmetry_space_group_name_Hall '-P 4 2'
loop_
_atom_site_label
_atom_site_fract_x
_atom_site_fract_y
_atom_site_fract_z
Ca1 0.000 0.000 0.227
Zr1 0.500 0.500 0.500
Al1 0.500 0.500 0.000
# **Raw total energy**: -15.74 eV/cell
# **Crystal system**: tetragonal


# CaZrAl, relaxed, DFT PBE-GGA
data_CaZrAl
_chemical_formula_sum 'Ca2 Zr2 Al2'
_cell_length_a 3.128
_cell_length_b 4.091
_cell_length_c 11.673
_cell_angle_alpha 90.00
_cell_angle_beta 90.00
_cell_angle_gamma 90.00
_symmetry_space_group_name_H-M 'I m m 2'
_symmetry_Int_Tables_number 44
loop_
_symmetry_equiv_pos_as_xyz
'x,y,z'
'-x,-y,z'
'-x,y,z'
'x,-y,z'
'x+1/2,y+1/2,z+1/2'
'-x+1/2,-y+1/2,z+1/2'
'-x+1/2,y+1/2,z+1/2'
'x+1/2,-y+1/2,z+1/2'
loop_
_atom_site_label
_atom_site_fract_x
_atom_site_fract_y
_atom_site_fract_z
Ca1 0.000 0.000 0.000
Zr1 0.000 0.000 0.713
Al1 0.000 0.000 0.329
# **Energy above the most stable polymorph in this dataset**: 149 meV per atom
# **Raw total energy**: -28.53 eV/cell
# **Crystal system**: orthorhombic


# CaZr4Al2, relaxed, DFT PBE-GGA
data_CaZr4Al2
_chemical_formula_sum 'Ca2 Zr8 Al4'
_cell_length_a 4.628
_cell_length_b 4.628
_cell_length_c 15.689
_cell_angle_alpha 90.00
_cell_angle_beta 90.00
_cell_angle_gamma 90.00
_symmetry_space_group_name_H-M 'I 4/m m m'
_symmetry_Int_Tables_number 139
_symmetry_space_group_name_Hall '-I 4 2'
loop_
_atom_site_label
_atom_site_fract_x
_atom_site_fract_y
_atom_site_fract_z
Ca1 0.000 0.000 0.000
Zr1 0.000 0.000 0.192
Zr2 0.000 0.500 0.000
Al1 0.000 0.000 0.372
# **Raw total energy**: -71.98 eV/cell
# **Crystal system**: tetragonal


# CaZrAl, relaxed, DFT PBE-GGA
data_CaZrAl
_chemical_formula_sum 'Ca4 Zr4 Al4'
_cell_length_a 3.632
_cell_length_b 3.632
_cell_length_c 24.706
_cell_angle_alpha 90.00
_cell_angle_beta 90.00
_cell_angle_gamma 90.00
_symmetry_space_group_name_H-M 'I 4/m m m'
_symmetry_Int_Tables_number 139
_symmetry_space_group_name_Hall '-I 4 2'
loop_
_atom_site_label
_atom_site_fract_x
_atom_site_fract_y
_atom_site_fract_z
Ca1 0.000 0.000 0.076
Zr1 0.000 0.000 0.215
Al1 0.000 0.000 0.341
# **Energy above the most stable polymorph in this dataset**: 0 meV per atom
# **Raw total energy**: -58.86 eV/cell
# **Crystal system**: tetragonal


# CaZrAl, relaxed, DFT PBE-GGA
data_CaZrAl
_chemical_formula_sum 'Ca1 Zr1 Al1'
_cell_length_a 4.9864
_cell_length_b 4.9864
_cell_length_c 3.3419
_cell_angle_alpha 90.00
_cell_angle_beta 90.00
_cell_angle_gamma 120.00
_symmetry_space_group_name_H-M 'P 3 m 1'
_symmetry_Int_Tables_number 156
loop_
_symmetry_equiv_pos_as_xyz
'x,y,z'
'-y,x-y,z'
'-x+y,-x,z'
'-y,-x,z'
'-x+y,y,z'
'x,x-y,z'
loop_
_atom_site_label
_atom_site_fract_x
_atom_site_fract_y
_atom_site_fract_z
Ca1 0.0000 0.0000 0.0000
Zr1 0.6667 0.3333 0.4209
Al1 0.3333 0.6667 0.6475
# **Energy above the most stable polymorph in this dataset**: 261 meV per atom
# **Raw total energy**: -13.93 eV/cell
# **Crystal system**: trigonal


# CaZr2Al, relaxed, DFT PBE-GGA
data_CaZr2Al
_chemical_formula_sum 'Ca2 Zr4 Al2'
_cell_length_a 4.479
_cell_length_b 4.479
_cell_length_c 9.140
_cell_angle_alpha 90.00
_cell_angle_beta 90.00
_cell_angle_gamma 90.00
_symmetry_space_group_name_H-M 'I 4/m m m'
_symmetry_Int_Tables_number 139
_symmetry_space_group_name_Hall '-I 4 2'
loop_
_atom_site_label
_atom_site_fract_x
_atom_site_fract_y
_atom_site_fract_z
Ca1 0.000 0.000 0.000
Zr1 0.000 0.500 0.250
Al1 0.000 0.000 0.500
# **Raw total energy**: -45.08 eV/cell
# **Crystal system**: tetragonal


no.,energy relative to the elements (eV per atom)
1,0.138
2,0.008
3,1.098
4,-0.141
5,0.120
6,0.075